The following is a PBE calculation of crystalline La15Mg4Al at its relaxed geometry, from Alexandria.

uncorrected energy	-84.4	eV for the cell shown
crystal system	tetragonal
formation energy	-0.017	eV per atom

a = 5.893 Å, b = 5.893 Å, c = 19.077 Å
α = 90.00°, β = 90.00°, γ = 90.00°
Atoms (fractional coordinates):
La  0.000  0.000  0.000
La  0.000  0.000  0.202
La  0.000  0.000  0.393
La  0.000  0.000  0.607
La  0.000  0.000  0.798
La  0.000  0.500  0.094
La  0.000  0.500  0.299
La  0.000  0.500  0.500
La  0.000  0.500  0.701
La  0.000  0.500  0.906
La  0.500  0.000  0.094
La  0.500  0.000  0.299
La  0.500  0.000  0.500
La  0.500  0.000  0.701
La  0.500  0.000  0.906
Mg  0.500  0.500  0.195
Mg  0.500  0.500  0.400
Mg  0.500  0.500  0.600
Mg  0.500  0.500  0.805
Al  0.500  0.500  0.000